i.
Entry from Alexandria via LeMat-Bulk: a relaxed Na2OF crystal (PBE-GGA).

abc: 4.1034 4.1034 4.1034
angles: 60.00 60.00 60.00
With the nearest neighbours (Å) after each atom.
Fractional positions:
F1 0.5000 0.5000 0.5000  8 Na 2.51
Na1 0.7500 0.7500 0.7500  4 O 2.51, 4 F 2.51
Na2 0.2500 0.2500 0.2500  4 O 2.51, 4 F 2.51
O1 0.0000 0.0000 0.0000  8 Na 2.51

Values from the calculation:
Theoretical density ... 2752 kg/m3
Volume ... 12.21 Å³/atom

ii.
Entry from Alexandria via LeMat-Bulk: a relaxed Na2OF crystal (PBE-GGA).

abc: 5.9636 5.9636 5.5178
angles: 57.29 57.29 90.00
With the nearest neighbours (Å) after each atom.
Fractional positions:
O1 0.2500 0.7500 0.5000  4 Na 2.34
O2 0.5000 0.5000 0.0000  4 Na 2.34
F1 0.0000 0.0000 0.0000  4 Na 2.24
F2 0.7500 0.2500 0.5000  4 Na 2.24
Na1 0.6389 0.1250 0.2500  2 F 2.24, 2 O 2.34
Na2 0.8750 0.8889 0.7500  2 F 2.24, 2 O 2.34
Na3 0.3750 0.3611 0.7500  2 F 2.24, 2 O 2.34
Na4 0.1111 0.6250 0.2500  2 F 2.24, 2 O 2.34

Values from the calculation:
Theoretical density ... 2125 kg/m3
Volume ... 15.82 Å³/atom

Each structure's energy above the most stable one, in kJ/mol of atoms: i 9.4; ii 0.0.

i.
Entry from Alexandria via LeMat-Bulk: a relaxed Na2OF crystal (PBE-GGA).

abc: 3.1821 3.1821 6.3555
angles: 75.50 75.50 60.00
With the nearest neighbours (Å) after each atom.
Fractional positions:
O1 0.6677 0.6677 0.9968  6 Na 2.42-2.44
F1 0.4989 0.4989 0.5034  6 Na 2.33-2.35
Na1 0.0872 0.0872 0.7383  3 F 2.33, 3 O 2.42
Na2 0.2461 0.2461 0.2616  3 F 2.35, 3 O 2.44

Values from the calculation:
Theoretical density ... 2520 kg/m3
Volume ... 13.34 Å³/atom

ii.
Entry from Alexandria via LeMat-Bulk: a relaxed Na2OF crystal (PBE-GGA).

abc: 3.4032 3.4032 7.2196
angles: 76.37 76.37 60.00
With the nearest neighbours (Å) after each atom.
Fractional positions:
Na1 0.9008 0.9008 0.2976  1 F 2.07
Na2 0.0992 0.0992 0.7024  1 F 2.07
O1 0.5000 0.5000 0.5000  6 Na 2.42
F1 0.0000 0.0000 0.0000  2 Na 2.07

Values from the calculation:
Theoretical density ... 1930 kg/m3
Volume ... 17.42 Å³/atom

Each structure's energy above the most stable one, in kJ/mol of atoms: i 0.0; ii 27.3.

i.
Entry from Alexandria via LeMat-Bulk: a relaxed Na4OF2 crystal (PBE-GGA).

abc: 4.3615 4.3615 6.9344
angles: 71.67 71.67 90.00
With the nearest neighbours (Å) after each atom.
Fractional positions:
F1 0.6476 0.6476 0.7049  1 Na 2.17
F2 0.3524 0.3524 0.2951  1 Na 2.17
Na1 0.8222 0.8222 0.3557  1 F 2.17, 1 O 2.21
Na2 0.5000 0.0000 0.0000  2 O 2.18
Na3 0.1778 0.1778 0.6443  1 F 2.17, 1 O 2.21
Na4 0.0000 0.5000 0.0000  2 O 2.18
O1 0.0000 0.0000 0.0000  6 Na 2.18-2.21

Values from the calculation:
Theoretical density ... 2051 kg/m3
Volume ... 16.88 Å³/atom

ii.
Entry from Alexandria via LeMat-Bulk: a relaxed Na4OF2 crystal (PBE-GGA).

abc: 3.5404 5.6614 6.6580
angles: 118.21 105.42 90.00
With the nearest neighbours (Å) after each atom.
Fractional positions:
Na1 0.6165 0.2650 0.2330  1 F 2.26, 2 O 2.33
Na2 0.1321 0.8471 0.2642  3 F 2.24-2.33, 1 O 2.25
Na3 0.8679 0.1529 0.7358  3 F 2.24-2.33, 1 O 2.25
Na4 0.3835 0.7350 0.7670  1 F 2.26, 2 O 2.33
O1 0.0000 0.0000 0.0000  6 Na 2.25-2.33
F1 0.2993 0.2792 0.5987  4 Na 2.24-2.33
F2 0.7007 0.7208 0.4013  4 Na 2.24-2.33

Values from the calculation:
Theoretical density ... 2162 kg/m3
Volume ... 16.02 Å³/atom

Each structure's energy above the most stable one, in kJ/mol of atoms: i 9.8; ii 0.0.

i.
Entry from Alexandria via LeMat-Bulk: a relaxed NaOF crystal (PBE-GGA).

abc: 4.1271 4.1653 6.2454
angles: 90.00 131.04 90.00
With the nearest neighbours (Å) after each atom.
Fractional positions:
Na1 0.8905 0.0000 0.7956  4 O 2.44-2.49, 4 F 2.46-2.48
Na2 0.8905 0.5000 0.2956  4 O 2.44-2.49, 4 F 2.46-2.48
O1 0.1969 0.5000 0.7960  1 F 1.51
O2 0.1969 0.0000 0.2960  1 F 1.51
F1 0.5624 0.5000 0.7951  1 O 1.51
F2 0.5624 0.0000 0.2951  1 O 1.51

Values from the calculation:
Theoretical density ... 2378 kg/m3
Volume ... 13.50 Å³/atom

ii.
Entry from Alexandria via LeMat-Bulk: a relaxed NaOF crystal (PBE-GGA).

abc: 4.2060 4.4701 5.7018
angles: 89.08 111.36 89.97
With the nearest neighbours (Å) after each atom.
Fractional positions:
O1 0.0076 0.6345 0.0229  1 O 1.23
O2 0.9924 0.3654 0.9771  1 O 1.23
Na1 0.2830 0.2460 0.5670  4 F 2.23-2.25
Na2 0.7170 0.7540 0.4330  4 F 2.23-2.25
F1 0.7075 0.2532 0.4144  4 Na 2.23-2.25
F2 0.2925 0.7468 0.5856  4 Na 2.23-2.25

Values from the calculation:
Theoretical density ... 1929 kg/m3
Volume ... 16.64 Å³/atom

iii.
Entry from Alexandria via LeMat-Bulk: a relaxed NaOF crystal (PBE-GGA).

abc: 3.2412 3.2474 9.0654
angles: 83.04 90.87 90.10
With the nearest neighbours (Å) after each atom.
Fractional positions:
Na1 0.2422 0.2951 0.8704  5 F 2.29-2.36
Na2 0.7578 0.7049 0.1296  5 F 2.29-2.36
F1 0.7412 0.7967 0.8679  5 Na 2.29-2.36
F2 0.2588 0.2033 0.1321  5 Na 2.29-2.36
O1 0.9293 0.4507 0.4412  1 O 1.23
O2 0.0707 0.5493 0.5588  1 O 1.23

Values from the calculation:
Theoretical density ... 2034 kg/m3
Volume ... 15.78 Å³/atom

Each structure's energy above the most stable one, in kJ/mol of atoms: i 72.9; ii 5.3; iii 0.0.

i.
Entry from Alexandria via LeMat-Bulk: a relaxed NaOF crystal (PBE-GGA).

abc: 3.2453 3.2432 9.1485
angles: 83.66 80.50 90.01
With the nearest neighbours (Å) after each atom.
Fractional positions:
O1 0.1418 0.2664 0.3942  1 O 1.23
O2 0.0645 0.1757 0.2739  1 O 1.23
Na1 0.0093 0.8916 0.7025  5 F 2.29-2.35
Na2 0.3901 0.3106 0.9639  5 F 2.29-2.36
F1 0.5101 0.3929 0.7009  5 Na 2.29-2.36
F2 0.8889 0.8100 0.9649  5 Na 2.29-2.35

Values from the calculation:
Theoretical density ... 2041 kg/m3
Volume ... 15.73 Å³/atom

ii.
Entry from Alexandria via LeMat-Bulk: a relaxed NaOF crystal (PBE-GGA).

abc: 3.3844 3.3978 4.2935
angles: 72.51 67.69 89.94
With the nearest neighbours (Å) after each atom.
Fractional positions:
F1 0.2607 0.9161 0.9395  1 O 1.52
Na1 0.9479 0.4246 0.5407  4 O 2.39-2.41, 3 F 2.43-2.58
O1 0.4407 0.9224 0.5558  1 F 1.52

Values from the calculation:
Theoretical density ... 2229 kg/m3
Volume ... 14.40 Å³/atom

iii.
Entry from Alexandria via LeMat-Bulk: a relaxed NaOF crystal (PBE-GGA).

abc: 4.4087 4.4087 6.3549
angles: 115.60 105.13 90.06
With the nearest neighbours (Å) after each atom.
Fractional positions:
Na1 0.7509 0.2509 0.5000  4 F 2.24
Na2 0.2491 0.7491 0.5000  4 F 2.24
O1 0.3975 0.5912 0.9888  1 O 1.23
O2 0.6025 0.4088 0.0112  1 O 1.23
F1 0.2241 0.2058 0.4299  4 Na 2.24
F2 0.7759 0.7942 0.5701  4 Na 2.24

Values from the calculation:
Theoretical density ... 1806 kg/m3
Volume ... 17.77 Å³/atom

Each structure's energy above the most stable one, in kJ/mol of atoms: i 0.0; ii 71.7; iii 5.1.

i.
Entry from Alexandria via LeMat-Bulk: a relaxed Na3OF crystal (PBE-GGA).

abc: 4.4074 4.4074 4.4074
angles: 90.00 90.00 90.00
With the nearest neighbours (Å) after each atom.
Fractional positions:
F1 0.5000 0.5000 0.5000  12 Na 3.12
O1 0.0000 0.0000 0.0000  6 Na 2.20
Na1 0.0000 0.5000 0.0000  2 O 2.20
Na2 0.5000 0.0000 0.0000  2 O 2.20
Na3 0.0000 0.0000 0.5000  2 O 2.20

Values from the calculation:
Theoretical density ... 2016 kg/m3
Volume ... 17.12 Å³/atom

ii.
Entry from Alexandria via LeMat-Bulk: a relaxed Na3OF crystal (PBE-GGA).

abc: 3.5637 5.9591 5.9591
angles: 112.39 90.00 90.00
With the nearest neighbours (Å) after each atom.
Fractional positions:
O1 0.0000 0.4258 0.5742  5 Na 2.20-2.27
Na1 0.0000 0.2035 0.7965  1 O 2.20, 2 F 2.21
Na2 0.5000 0.2591 0.3316  1 F 2.23, 2 O 2.27
Na3 0.5000 0.6684 0.7409  1 F 2.23, 2 O 2.27
F1 0.5000 0.0712 0.9288  4 Na 2.21-2.23

Values from the calculation:
Theoretical density ... 1475 kg/m3
Volume ... 23.40 Å³/atom

Each structure's energy above the most stable one, in kJ/mol of atoms: i 4.7; ii 0.0.

i.
Entry from Alexandria via LeMat-Bulk: a relaxed NaOF2 crystal (PBE-GGA).

abc: 4.1333 4.1333 6.8509
angles: 72.44 72.44 90.00
With the nearest neighbours (Å) after each atom.
Fractional positions:
F1 0.1967 0.6250 0.2500  2 O 2.00
F2 0.3750 0.4467 0.7500  2 O 2.00
F3 0.5533 0.1250 0.2500  2 O 2.00
F4 0.8750 0.8033 0.7500  2 O 2.00
Na1 0.7500 0.2500 0.5000  4 F 2.29
Na2 0.0000 0.0000 0.0000  4 F 2.29
O1 0.2500 0.7500 0.5000  4 F 2.00
O2 0.5000 0.5000 0.0000  4 F 2.00

Values from the calculation:
Theoretical density ... 2415 kg/m3
Volume ... 13.23 Å³/atom

ii.
Entry from Alexandria via LeMat-Bulk: a relaxed NaOF2 crystal (PBE-GGA).

abc: 5.9696 5.9696 5.9696
angles: 33.75 33.75 33.75
With the nearest neighbours (Å) after each atom.
Fractional positions:
Na1 0.5000 0.5000 0.5000  6 F 2.29
O1 0.0000 0.0000 0.0000  2 F 1.71
F1 0.8989 0.8989 0.8989  1 O 1.71
F2 0.1011 0.1011 0.1011  1 O 1.71

Values from the calculation:
Theoretical density ... 2185 kg/m3
Volume ... 14.63 Å³/atom

iii.
Entry from Alexandria via LeMat-Bulk: a relaxed NaOF2 crystal (PBE-GGA).

abc: 4.3322 4.2299 4.2299
angles: 43.93 59.20 59.20
With the nearest neighbours (Å) after each atom.
Fractional positions:
Na1 0.7500 0.7500 0.7500  8 F 2.50-2.57, 4 O 2.68
F1 0.4398 0.5602 0.5602  2 O 2.01
F2 0.0602 0.9398 0.9398  2 O 2.01
O1 0.2500 0.2500 0.2500  4 F 2.01

Values from the calculation:
Theoretical density ... 2851 kg/m3
Volume ... 11.21 Å³/atom

Each structure's energy above the most stable one, in kJ/mol of atoms: i 28.5; ii 0.0; iii 26.8.

i.
Entry from Alexandria via LeMat-Bulk: a relaxed NaOF3 crystal (PBE-GGA).

abc: 3.8245 3.8245 3.8245
angles: 90.00 90.00 90.00
With the nearest neighbours (Å) after each atom.
Fractional positions:
O1 0.0000 0.0000 0.0000  6 F 1.91
F1 0.0000 0.5000 0.0000  2 O 1.91
F2 0.0000 0.0000 0.5000  2 O 1.91
F3 0.5000 0.0000 0.0000  2 O 1.91
Na1 0.5000 0.5000 0.5000  12 F 2.70

Values from the calculation:
Theoretical density ... 2849 kg/m3
Volume ... 11.19 Å³/atom

ii.
Entry from Alexandria via LeMat-Bulk: a relaxed NaOF3 crystal (PBE-GGA).

abc: 4.3139 4.3139 4.3139
angles: 90.00 90.00 90.00
With the nearest neighbours (Å) after each atom.
Fractional positions:
F1 0.0000 0.0000 0.5000  2 Na 2.16
F2 0.0000 0.5000 0.0000  2 Na 2.16
F3 0.5000 0.0000 0.0000  2 Na 2.16
O1 0.5000 0.5000 0.5000  12 F 3.05
Na1 0.0000 0.0000 0.0000  6 F 2.16

Values from the calculation:
Theoretical density ... 1985 kg/m3
Volume ... 16.06 Å³/atom

Each structure's energy above the most stable one, in kJ/mol of atoms: i 0.0; ii 44.1.

i.
Entry from Alexandria via LeMat-Bulk: a relaxed Na4O2F crystal (PBE-GGA).

abc: 6.1911 6.1911 6.1915
angles: 110.37 110.37 107.70
With the nearest neighbours (Å) after each atom.
Fractional positions:
F1 0.2500 0.7500 0.5000  4 Na 2.34
F2 0.9999 0.0000 0.0000  4 Na 2.34
Na1 0.0078 0.6209 0.7523  1 F 2.34, 3 O 2.35-2.53
Na2 0.3813 0.1290 0.8869  1 F 2.34, 3 O 2.35-2.53
Na3 0.5057 0.6188 0.7478  1 F 2.34, 3 O 2.35-2.53
Na4 0.7444 0.9921 0.6130  1 F 2.34, 3 O 2.35-2.53
Na5 0.8710 0.7579 0.2523  1 F 2.34, 3 O 2.35-2.53
Na6 0.2421 0.4943 0.1131  1 F 2.34, 3 O 2.35-2.53
Na7 0.8686 0.2556 0.2477  1 F 2.34, 3 O 2.35-2.53
Na8 0.3791 0.1314 0.3869  1 F 2.34, 3 O 2.35-2.53
O1 0.6250 0.4937 0.3687  6 Na 2.35-2.53
O2 0.7437 0.3750 0.8687  6 Na 2.35-2.53
O3 0.1250 0.2563 0.6313  6 Na 2.35-2.53
O4 0.5063 0.8750 0.1313  6 Na 2.35-2.53

Values from the calculation:
Theoretical density ... 2601 kg/m3
Volume ... 13.04 Å³/atom

ii.
Entry from Alexandria via LeMat-Bulk: a relaxed Na4O2F crystal (PBE-GGA).

abc: 4.2419 4.2419 6.5775
angles: 71.19 71.19 90.00
With the nearest neighbours (Å) after each atom.
Fractional positions:
Na1 0.1897 0.1897 0.6207  1 O 2.21, 1 F 2.22
Na2 0.5000 0.0000 0.0000  2 F 2.12
Na3 0.8103 0.8103 0.3793  1 O 2.21, 1 F 2.22
Na4 0.0000 0.5000 0.0000  2 F 2.12
O1 0.3783 0.3783 0.2433  1 Na 2.21
O2 0.6217 0.6217 0.7567  1 Na 2.21
F1 0.0000 0.0000 0.0000  6 Na 2.12-2.22

Values from the calculation:
Theoretical density ... 2254 kg/m3
Volume ... 15.05 Å³/atom

Each structure's energy above the most stable one, in kJ/mol of atoms: i 0.0; ii 10.8.

i.
Entry from Alexandria via LeMat-Bulk: a relaxed NaOsOF2 crystal (PBE-GGA).

abc: 3.8364 3.8364 4.3406
angles: 90.00 90.00 90.00
With the nearest neighbours (Å) after each atom.
Fractional positions:
F1 0.5000 0.0000 0.0000  2 Na 1.92
F2 0.0000 0.5000 0.0000  2 Na 1.92
Os1 0.5000 0.5000 0.5000  4 O 2.71, 8 F 2.90
Na1 0.0000 0.0000 0.0000  4 F 1.92
O1 0.0000 0.0000 0.5000  2 Na 2.17

Values from the calculation:
Theoretical density ... 6946 kg/m3
Volume ... 12.78 Å³/atom

ii.
Entry from Alexandria via LeMat-Bulk: a relaxed NaOsOF2 crystal (PBE-GGA).

abc: 4.4058 4.4058 3.7441
angles: 90.00 90.00 90.00
With the nearest neighbours (Å) after each atom.
Fractional positions:
F1 0.0000 0.5000 0.0000  2 Os 2.20
F2 0.5000 0.0000 0.0000  2 Os 2.20
O1 0.0000 0.0000 0.5000  2 Os 1.87
Os1 0.0000 0.0000 0.0000  2 O 1.87
Na1 0.5000 0.5000 0.5000  8 F 2.89, 4 O 3.12

Values from the calculation:
Theoretical density ... 6105 kg/m3
Volume ... 14.54 Å³/atom

Each structure's energy above the most stable one, in kJ/mol of atoms: i 122.2; ii 0.0.

i.
Entry from Alexandria via LeMat-Bulk: a relaxed NaPOF2 crystal (PBE-GGA).

abc: 4.3031 4.3031 3.5694
angles: 90.00 90.00 90.00
With the nearest neighbours (Å) after each atom.
Fractional positions:
O1 0.0000 0.0000 0.5000  2 P 1.78
F1 0.5000 0.0000 0.0000  2 P 2.15
F2 0.0000 0.5000 0.0000  2 P 2.15
P1 0.0000 0.0000 0.0000  2 O 1.78
Na1 0.5000 0.5000 0.5000  8 F 2.80, 4 O 3.04

Values from the calculation:
Theoretical density ... 2712 kg/m3
Volume ... 13.22 Å³/atom

ii.
Entry from Alexandria via LeMat-Bulk: a relaxed NaPOF2 crystal (PBE-GGA).

abc: 3.8505 3.8505 4.3030
angles: 90.00 90.00 90.00
With the nearest neighbours (Å) after each atom.
Fractional positions:
P1 0.5000 0.5000 0.5000  4 O 2.72, 8 F 2.89
F1 0.5000 0.0000 0.0000  2 Na 1.93
F2 0.0000 0.5000 0.0000  2 Na 1.93
O1 0.0000 0.0000 0.5000  2 Na 2.15
Na1 0.0000 0.0000 0.0000  4 F 1.93, 2 O 2.15

Values from the calculation:
Theoretical density ... 2810 kg/m3
Volume ... 12.76 Å³/atom

Each structure's energy above the most stable one, in kJ/mol of atoms: i 0.0; ii 128.8.

i.
Entry from Alexandria via LeMat-Bulk: a relaxed NaP2OF crystal (PBE-GGA).

abc: 4.0680 4.0680 4.9970
angles: 90.00 90.00 90.00
With the nearest neighbours (Å) after each atom.
Fractional positions:
P1 0.5000 0.0000 0.0000  2 F 2.03
P2 0.0000 0.5000 0.0000  2 F 2.03
O1 0.0000 0.0000 0.5000  2 F 2.50
F1 0.0000 0.0000 0.0000  4 P 2.03
Na1 0.5000 0.5000 0.5000  4 O 2.88

Values from the calculation:
Theoretical density ... 2408 kg/m3
Volume ... 16.54 Å³/atom

ii.
Entry from Alexandria via LeMat-Bulk: a relaxed NaP2OF crystal (PBE-GGA).

abc: 4.8529 4.8529 3.9705
angles: 90.00 90.00 90.00
With the nearest neighbours (Å) after each atom.
Fractional positions:
F1 0.5000 0.5000 0.5000  8 P 3.14, 4 O 3.43
O1 0.0000 0.0000 0.5000  2 Na 1.99
P1 0.5000 0.0000 0.0000  2 Na 2.43
P2 0.0000 0.5000 0.0000  2 Na 2.43
Na1 0.0000 0.0000 0.0000  2 O 1.99

Values from the calculation:
Theoretical density ... 2130 kg/m3
Volume ... 18.70 Å³/atom

Each structure's energy above the most stable one, in kJ/mol of atoms: i 0.0; ii 72.1.